Computed, not measured: a relaxed ZnReSe2 crystal at the PBE-GGA level of DFT.

Computed properties:
theoretical density: 10.46 g cm⁻³
Fermi-level density of states: 6.7 states/eV per cell
E above lowest polymorph: 309 meV/atom

The structure in CIF format:
```
data_ZnReSe2
_cell_length_a 6.384
_cell_length_b 6.384
_cell_length_c 6.384
_cell_angle_alpha 90.00
_cell_angle_beta 90.00
_cell_angle_gamma 90.00
_symmetry_space_group_name_H-M 'F m -3 m'
_symmetry_Int_Tables_number 225
_symmetry_space_group_name_Hall '-F 4 2 3'
loop_
_atom_site_label
_atom_site_type_symbol
_atom_site_fract_x
_atom_site_fract_y
_atom_site_fract_z
Zn1 Zn 0.000 0.000 0.000
Re1 Re 0.000 0.000 0.500
Se1 Se 0.250 0.250 0.250
```

Computed, not measured: a relaxed BaCaGe2S crystal at the PBE-GGA level of DFT.

Computed properties:
theoretical density: 3.79 g cm⁻³
Fermi-level density of states: 1.6 states/eV per cell
electronic total energy: -18.16 eV for the cell shown

The structure in CIF format:
```
data_BaCaGe2S
_cell_length_a 5.255
_cell_length_b 5.255
_cell_length_c 5.628
_cell_angle_alpha 90.00
_cell_angle_beta 90.00
_cell_angle_gamma 90.00
_symmetry_space_group_name_H-M 'P 4/m m m'
_symmetry_Int_Tables_number 123
_symmetry_space_group_name_Hall '-P 4 2'
loop_
_atom_site_label
_atom_site_type_symbol
_atom_site_fract_x
_atom_site_fract_y
_atom_site_fract_z
Ba1 Ba 0.000 0.000 0.000
Ca1 Ca 0.500 0.500 0.000
Ge1 Ge 0.000 0.500 0.500
S1 S 0.000 0.000 0.500
```